# 1
# InOs2Br PBE optimized geometry
data_InOs2Br
_cell_length_a 2.9968
_cell_length_b 2.9968
_cell_length_c 26.1806
_cell_angle_alpha 90.00
_cell_angle_beta 90.00
_cell_angle_gamma 120.00
_symmetry_space_group_name_H-M 'R -3 m'
_symmetry_Int_Tables_number 166
_symmetry_space_group_name_Hall '-R 3 2"'
loop_
_atom_site_label
_atom_site_fract_x
_atom_site_fract_y
_atom_site_fract_z
In1 0.0000 0.0000 0.0000
Os1 0.0000 0.0000 0.2479
Br1 0.0000 0.0000 0.5000
# Calculated density: 14.07 g cm⁻³
# DOS at the Fermi energy: 0.689 states/eV per atom
# E_form (uncorrected): 96.51 kJ per mole of atoms
# Relative energy among the computed polymorphs: 533 meV per atom


# 2
# InCo2Mo PBE optimized geometry
data_InCo2Mo
_cell_length_a 3.7049
_cell_length_b 3.7049
_cell_length_c 8.2523
_cell_angle_alpha 90.00
_cell_angle_beta 90.00
_cell_angle_gamma 90.00
_symmetry_space_group_name_H-M 'I -4 m 2'
_symmetry_Int_Tables_number 119
_symmetry_space_group_name_Hall 'I -4 -2'
loop_
_atom_site_label
_atom_site_fract_x
_atom_site_fract_y
_atom_site_fract_z
In1 0.0000 0.0000 0.0000
Co1 0.0000 0.0000 0.5000
Co2 0.0000 0.5000 0.2500
Mo1 0.0000 0.5000 0.7500
# Calculated density: 9.64 g cm⁻³
# DOS at the Fermi energy: 1.115 states/eV per atom
# Formation enthalpy at 0 K: 312 meV/atom


# 3
# Ac5Hg2Ru2 PBE optimized geometry
data_Ac5Hg2Ru2
_cell_length_a 16.9681
_cell_length_b 8.2055
_cell_length_c 8.2922
_cell_angle_alpha 90.00
_cell_angle_beta 90.00
_cell_angle_gamma 90.00
_symmetry_space_group_name_H-M 'C m c e'
_symmetry_Int_Tables_number 64
_symmetry_space_group_name_Hall '-C 2ac 2'
loop_
_atom_site_label
_atom_site_fract_x
_atom_site_fract_y
_atom_site_fract_z
Ac1 0.0000 0.0000 0.0000
Ac2 0.1179 0.1638 0.3355
Hg1 0.2138 0.0000 0.0000
Ru1 0.0000 0.1375 0.6366
# Calculated density: 10.00 g cm⁻³
# DOS at the Fermi energy: 0.826 states/eV per atom
# Formation enthalpy at 0 K: -296 meV/atom